An optimized crystal structure of KHgPS2, computed with PBE-GGA.

Results
ΔE_f (raw): 9.0 kcal/mol of atoms
Fermi-level density of states: 4.31 states/eV/f.u.
relative energy among the computed polymorphs: 0.000 eV/f.u.
E: -2.6245 eV/atom

a b c (Å): 5.2378 5.2378 5.0425
angles (deg): 90.00 90.00 90.00
Space group P4/mmm (No. 123)
Inequivalent atoms, fractional coordinates:
1 K 0.0000 0.0000 0.0000 (multiplicity 1)
2 Hg 0.5000 0.5000 0.5000 (multiplicity 1)
3 P 0.5000 0.5000 0.0000 (multiplicity 1)
4 S 0.0000 0.5000 0.5000 (multiplicity 2)